[1]
The following is a DFT calculation (GGA-PBE) of a geometry-optimized LaMg6Zr structure.

abc: 5.2049 6.8641 6.8641
angles: 54.42 90.00 90.00
Fractional positions:
La 0.0000 0.0000 0.0000
Mg 0.0000 0.5004 0.9899
Mg 0.0000 0.9899 0.5004
Mg 0.5000 0.1506 0.6372
Mg 0.5000 0.1682 0.1682
Mg 0.5000 0.6353 0.6353
Mg 0.5000 0.6372 0.1506
Zr 0.0000 0.4827 0.4827

Summary:
Space group = Amm2, No. 38
Energy of formation from the pure elements = 0.0841 eV per atom



[2]
The following is a DFT calculation (GGA-PBE) of a geometry-optimized La3MgZr structure.

abc: 5.7630 5.7630 5.7630
angles: 90.00 90.00 90.00
Fractional positions:
La 0.0000 0.0000 0.5000
La 0.0000 0.5000 0.0000
La 0.5000 0.0000 0.0000
Mg 0.0000 0.0000 0.0000
Zr 0.5000 0.5000 0.5000

Summary:
Space group = Pm-3m, No. 221
Energy of formation from the pure elements = 0.9261 eV per atom



[3]
The following is a DFT calculation (GGA-PBE) of a geometry-optimized LaMg2Zr structure.

abc: 5.8392 5.8392 3.1936
angles: 90.00 90.00 110.87
Fractional positions:
La 0.0000 0.0000 0.0000
Mg 0.0000 0.5000 0.5000
Mg 0.5000 0.0000 0.5000
Zr 0.5000 0.5000 0.0000

Summary:
Space group = Cmmm, No. 65
Energy of formation from the pure elements = 0.0817 eV per atom



> energy of formation from the pure elements of number 1 (LaMg6Zr)?

0.0841 eV per atom



> Which of these has the lowest energy of formation from the pure elements?

LaMg2Zr